[1]
## Pa2PtRh8 (PBE)

Data for a relaxed structure of Pa2PtRh8.

abc: 4.6320 4.8700 8.6655
angles: 100.42 105.50 90.00
Last column: nearest neighbours and their distance in Å.
Positions (direct):
Rh (0.0742, 0.1843, 0.1485)  2 Pa 2.63-2.84, 2 Pt 2.70, 6 Rh 2.77-2.93
Rh (0.3338, 0.8768, 0.6676)  1 Pt 2.73, 8 Rh 2.76-2.87, 3 Pa 2.90-3.01
Rh (0.7544, 0.6710, 0.5089)  8 Rh 2.76-2.87, 4 Pa 2.85-2.97
Rh (0.5810, 0.5570, 0.1619)  6 Rh 2.66-2.93, 2 Pa 2.69, 2 Pt 2.75-2.79
Rh (0.4190, 0.4430, 0.8381)  6 Rh 2.66-2.93, 2 Pa 2.69, 2 Pt 2.75-2.79
Rh (0.2456, 0.3290, 0.4911)  8 Rh 2.76-2.87, 4 Pa 2.85-2.97
Rh (0.6662, 0.1232, 0.3324)  1 Pt 2.73, 8 Rh 2.76-2.87, 3 Pa 2.90-3.01
Rh (0.9258, 0.8157, 0.8515)  2 Pa 2.63-2.84, 2 Pt 2.70, 6 Rh 2.77-2.93
Pa (0.8495, 0.2425, 0.6989)  8 Rh 2.63-2.93
Pa (0.1505, 0.7575, 0.3011)  8 Rh 2.63-2.93
Pt (0.5000, 0.0000, 0.0000)  10 Rh 2.70-2.79

Results
**Crystal system**: monoclinic
**ΔE_f**: -0.530 eV per atom
**Raw total energy**: -8.15 eV/atom

=====

[2]
## Ca2Mg2SnPd5 (PBE)

Data for a relaxed structure of Ca2Mg2SnPd5.

abc: 3.7620 10.1275 10.1275
angles: 90.00 90.00 90.00
Last column: nearest neighbours and their distance in Å.
Positions (direct):
Mg (0.0000, 0.1227, 0.6227)  6 Pd 2.57-2.65
Mg (0.0000, 0.6227, 0.8773)  6 Pd 2.57-2.65
Mg (0.0000, 0.8773, 0.3773)  6 Pd 2.57-2.65
Mg (0.0000, 0.3773, 0.1227)  6 Pd 2.57-2.65
Pd (0.5000, 0.5643, 0.7018)  2 Mg 2.65, 2 Sn 2.85
Pd (0.5000, 0.4357, 0.2982)  2 Mg 2.65, 2 Sn 2.85
Pd (0.5000, 0.2018, 0.0643)  2 Mg 2.65, 2 Sn 2.85
Pd (0.5000, 0.0643, 0.7982)  2 Mg 2.65, 2 Sn 2.85
Pd (0.5000, 0.5000, 0.0000)  4 Mg 2.57
Pd (0.5000, 0.2982, 0.5643)  2 Mg 2.65, 2 Sn 2.85
Pd (0.5000, 0.7982, 0.9357)  2 Mg 2.65, 2 Sn 2.85
Pd (0.5000, 0.9357, 0.2018)  2 Mg 2.65, 2 Sn 2.85
Pd (0.5000, 0.0000, 0.5000)  4 Mg 2.57
Pd (0.5000, 0.7018, 0.4357)  2 Mg 2.65, 2 Sn 2.85
Ca (0.0000, 0.3241, 0.8241)  3 Mg 2.88-3.07, 2 Pd 3.14
Ca (0.0000, 0.1759, 0.3241)  3 Mg 2.88-3.07, 2 Pd 3.14
Ca (0.0000, 0.6759, 0.1759)  3 Mg 2.88-3.07, 2 Pd 3.14
Ca (0.0000, 0.8241, 0.6759)  3 Mg 2.88-3.07, 2 Pd 3.14
Sn (0.0000, 0.5000, 0.5000)  8 Pd 2.85
Sn (0.0000, 0.0000, 0.0000)  8 Pd 2.85

Results
**Crystal system**: tetragonal
**ΔE_f**: -0.614 eV per atom
**Raw total energy**: -4.33 eV/atom